1.
GGA-PBE YPdRu2, optimized geometry; volume = 156.05 Å³/cell; total magnetic moment = 0.97 μB/f.u.; D(E_F) = 1.178 states/eV per atom; raw total energy = -58.87 eV per cell
1.0
3.991 0.000 0.000
0.000 3.991 0.000
1.995 1.995 9.798
Y Ru Pd
2 4 2
direct
0.500 0.500 0.000
0.250 0.750 0.500
0.710 0.125 0.250
0.040 0.625 0.250
0.375 0.290 0.750
0.875 0.960 0.750
0.000 0.000 0.000
0.750 0.250 0.500

---

2.
GGA-PBE Y2PdRu, optimized geometry; volume = 192.28 Å³/cell; total magnetic moment = 0.00 μB/f.u.; D(E_F) = 0.860 states/eV per atom; raw total energy = -52.82 eV per cell
1.0
-1.396 -4.086 -1.825
4.465 -1.401 -0.277
0.967 -6.143 6.992
Y Ru Pd
4 2 2
direct
0.615 0.125 0.250
0.135 0.625 0.250
0.375 0.385 0.750
0.875 0.865 0.750
0.500 0.500 0.000
0.250 0.750 0.500
0.000 0.000 0.000
0.750 0.250 0.500

---

3.
GGA-PBE YZrPdRu, optimized geometry; volume = 77.64 Å³/cell; total magnetic moment = 0.00 μB/f.u.; D(E_F) = 0.656 states/eV per atom; raw total energy = -31.77 eV per cell
1.0
4.789 0.000 0.000
2.394 4.147 0.000
2.394 1.382 3.910
Y Ru Zr Pd
1 1 1 1
direct
0.500 0.500 0.500
0.750 0.750 0.750
0.000 0.000 0.000
0.250 0.250 0.250

---

4.
GGA-PBE Zn3PdRu, optimized geometry; volume = 99.12 Å³/cell; total magnetic moment = 1.65 μB/f.u.; D(E_F) = 0.601 states/eV per atom; raw total energy = -14.52 eV per cell
1.0
-4.556 -0.331 -0.741
0.456 -4.539 -0.778
-0.671 -0.839 4.502
Ru Zn Pd
1 3 1
direct
0.500 0.500 0.500
0.000 0.500 0.000
0.000 0.000 0.500
0.500 0.000 0.000
0.000 0.000 0.000

---

5.
GGA-PBE ZnPdRu2, optimized geometry; volume = 125.35 Å³/cell; total magnetic moment = 0.00 μB/f.u.; D(E_F) = 1.583 states/eV per atom; raw total energy = -44.67 eV per cell
1.0
7.084 0.000 0.000
0.000 7.084 0.000
3.542 3.542 2.498
Ru Zn Pd
4 2 2
direct
0.611 0.125 0.250
0.139 0.625 0.250
0.375 0.389 0.750
0.875 0.861 0.750
0.500 0.500 0.000
0.250 0.750 0.500
0.000 0.000 0.000
0.750 0.250 0.500

---

6.
GGA-PBE ZrPdRu3, optimized geometry; volume = 102.89 Å³/cell; total magnetic moment = 4.29 μB/f.u.; D(E_F) = 1.080 states/eV per atom; raw total energy = -34.02 eV per cell
1.0
4.686 0.000 0.000
0.000 4.686 0.000
0.000 0.000 4.686
Ru Zr Pd
3 1 1
direct
0.000 0.500 0.000
0.000 0.000 0.500
0.500 0.000 0.000
0.500 0.500 0.500
0.000 0.000 0.000

---

7.
GGA-PBE Zr2PdRu2, optimized geometry; volume = 181.47 Å³/cell; total magnetic moment = 0.00 μB/f.u.; D(E_F) = 0.454 states/eV per atom; raw total energy = -83.65 eV per cell
1.0
7.529 0.000 0.000
0.000 7.529 0.000
0.000 0.000 3.201
Ru Zr Pd
4 4 2
direct
0.143 0.643 0.500
0.643 0.857 0.500
0.857 0.357 0.500
0.357 0.143 0.500
0.345 0.845 0.000
0.845 0.655 0.000
0.655 0.155 0.000
0.155 0.345 0.000
0.000 0.000 0.000
0.500 0.500 0.000

---

8.
GGA-PBE Zr12Pd3Ru5, optimized geometry; volume = 1902.90 Å³/cell; total magnetic moment = 0.00 μB/f.u.; D(E_F) = 0.906 states/eV per atom; raw total energy = -641.49 eV per cell
1.0
13.521 0.000 0.000
-4.507 12.748 0.000
-4.507 -6.374 11.040
Pd Ru Zr
12 20 48
direct
0.750 0.375 0.125
0.875 0.750 0.125
0.375 0.750 0.625
0.250 0.125 0.375
0.875 0.125 0.250
0.375 0.625 0.250
0.625 0.375 0.750
0.125 0.875 0.750
0.750 0.875 0.625
0.625 0.250 0.375
0.125 0.250 0.875
0.250 0.625 0.875
0.125 0.375 0.250
0.000 0.500 0.000
0.000 0.000 0.000
0.375 0.250 0.125
0.500 0.000 0.500
0.500 0.500 0.000
0.125 0.750 0.375
0.750 0.125 0.875
0.750 0.625 0.375
0.375 0.125 0.750
0.625 0.875 0.250
0.500 0.500 0.500
0.500 0.000 0.000
0.000 0.000 0.500
0.250 0.375 0.625
0.250 0.875 0.125
0.000 0.500 0.500
0.875 0.250 0.625
0.625 0.750 0.875
0.875 0.625 0.750
0.716 0.131 0.046
0.330 0.546 0.416
0.954 0.369 0.284
0.546 0.216 0.131
0.586 0.716 0.670
0.954 0.584 0.170
0.330 0.784 0.414
0.084 0.914 0.131
0.584 0.954 0.670
0.716 0.586 0.170
0.784 0.454 0.369
0.830 0.916 0.046
0.131 0.716 0.546
0.369 0.416 0.086
0.086 0.916 0.369
0.414 0.131 0.584
0.086 0.170 0.216
0.454 0.670 0.084
0.830 0.914 0.284
0.131 0.414 0.084
0.369 0.954 0.784
0.584 0.631 0.414
0.916 0.830 0.546
0.784 0.330 0.914
0.416 0.369 0.586
0.084 0.170 0.454
0.216 0.670 0.086
0.170 0.086 0.716
0.631 0.046 0.216
0.869 0.586 0.916
0.546 0.330 0.916
0.586 0.869 0.416
0.914 0.830 0.784
0.914 0.084 0.631
0.869 0.284 0.454
0.170 0.084 0.954
0.631 0.584 0.914
0.416 0.046 0.330
0.284 0.414 0.830
0.216 0.546 0.631
0.916 0.086 0.869
0.670 0.216 0.586
0.454 0.784 0.869
0.046 0.416 0.830
0.414 0.284 0.330
0.046 0.631 0.716
0.670 0.454 0.584
0.284 0.869 0.954

---

9.
GGA-PBE ZrPdRu3, optimized geometry; volume = 106.71 Å³/cell; total magnetic moment = 4.04 μB/f.u.; D(E_F) = 1.000 states/eV per atom; raw total energy = -33.07 eV per cell
1.0
-2.407 1.107 3.934
3.807 -1.054 2.626
1.487 4.490 -0.353
Ru Zr Pd
3 1 1
direct
0.000 0.500 0.000
0.000 0.000 0.500
0.500 0.000 0.000
0.000 0.000 0.000
0.500 0.500 0.500

---

10.
GGA-PBE Zr2PdRu, optimized geometry; volume = 73.03 Å³/cell; total magnetic moment = 0.00 μB/f.u.; D(E_F) = 0.953 states/eV per atom; raw total energy = -33.97 eV per cell
1.0
-0.932 -2.968 -0.848
1.605 0.291 -2.781
5.743 -2.671 3.036
Ru Zr Pd
1 2 1
direct
0.500 0.500 0.000
0.000 0.000 0.762
0.000 0.000 0.238
0.500 0.500 0.500

---

11.
GGA-PBE ZrPdRu, optimized geometry; volume = 206.04 Å³/cell; total magnetic moment = 0.00 μB/f.u.; D(E_F) = 1.191 states/eV per atom; raw total energy = -96.14 eV per cell
1.0
4.613 0.000 0.000
0.000 6.183 -0.242
0.000 -1.345 7.277
Zr Ru Pd
4 4 4
direct
0.250 0.312 0.731
0.750 0.188 0.269
0.750 0.688 0.269
0.250 0.812 0.731
0.250 0.635 0.031
0.250 0.135 0.031
0.750 0.365 0.969
0.750 0.865 0.969
0.250 0.970 0.381
0.250 0.470 0.381
0.750 0.030 0.619
0.750 0.530 0.619

---

12.
GGA-PBE ZrPd2Ru, optimized geometry; volume = 140.25 Å³/cell; total magnetic moment = 0.00 μB/f.u.; D(E_F) = 0.577 states/eV per atom; raw total energy = -57.19 eV per cell
1.0
-1.332 -3.436 1.058
1.116 0.678 3.605
-8.612 2.502 4.234
Ru Zr Pd
2 2 4
direct
0.000 0.000 0.000
0.750 0.250 0.500
0.500 0.500 0.000
0.250 0.750 0.500
0.633 0.125 0.250
0.117 0.625 0.250
0.375 0.367 0.750
0.875 0.883 0.750

---

13.
GGA-PBE Zr5Pd2Ru, optimized geometry; volume = 314.73 Å³/cell; total magnetic moment = 0.00 μB/f.u.; D(E_F) = 1.040 states/eV per atom; raw total energy = -131.53 eV per cell
1.0
4.723 0.000 0.000
0.000 5.965 0.000
0.000 0.000 11.171
Zr Pd Ru
10 4 2
direct
0.000 0.000 0.500
0.000 0.500 0.000
0.000 0.852 0.225
0.000 0.148 0.775
0.000 0.648 0.725
0.000 0.352 0.275
0.500 0.650 0.385
0.500 0.350 0.615
0.500 0.850 0.885
0.500 0.150 0.115
0.500 0.623 0.125
0.500 0.377 0.875
0.500 0.877 0.625
0.500 0.123 0.375
0.000 0.500 0.500
0.000 0.000 0.000

---

14.
GGA-PBE ZrPdRu2, optimized geometry; volume = 64.62 Å³/cell; total magnetic moment = 0.00 μB/f.u.; D(E_F) = 1.508 states/eV per atom; raw total energy = -32.50 eV per cell
1.0
0.000 3.185 3.185
3.185 0.000 3.185
3.185 3.185 0.000
Ru Zr Pd
2 1 1
direct
0.250 0.250 0.250
0.750 0.750 0.750
0.000 0.000 0.000
0.500 0.500 0.500

---

15.
GGA-PBE ZrPd2Ru, optimized geometry; volume = 64.54 Å³/cell; total magnetic moment = 0.00 μB/f.u.; D(E_F) = 1.033 states/eV per atom; raw total energy = -30.20 eV per cell
1.0
4.087 0.000 0.000
0.000 3.974 0.000
0.000 0.000 3.974
Ru Zr Pd
1 1 2
direct
0.500 0.000 0.000
0.500 0.500 0.500
0.000 0.000 0.500
0.000 0.500 0.000

---

16.
GGA-PBE Zr6Pd5Ru, optimized geometry; volume = 224.32 Å³/cell; total magnetic moment = 0.00 μB/f.u.; D(E_F) = 1.021 states/eV per atom; raw total energy = -93.55 eV per cell
1.0
4.421 0.428 -1.333
-1.446 6.092 -2.829
0.039 -0.070 8.169
Ru Pd Zr
1 5 6
direct
0.000 0.000 0.000
0.320 0.820 0.640
0.672 0.672 0.344
0.000 0.500 0.000
0.328 0.328 0.656
0.680 0.180 0.360
0.160 0.405 0.321
0.160 0.916 0.321
0.500 0.239 0.000
0.500 0.761 0.000
0.840 0.084 0.679
0.840 0.595 0.679

---

17.
GGA-PBE Zr6PdRu5, optimized geometry; volume = 213.65 Å³/cell; total magnetic moment = 0.00 μB/f.u.; D(E_F) = 0.620 states/eV per atom; raw total energy = -110.29 eV per cell
1.0
-1.187 -1.329 -4.315
-4.743 -3.781 2.469
-1.516 7.900 0.498
Ru Zr Pd
5 6 1
direct
0.667 0.167 0.334
0.334 0.334 0.668
0.000 0.500 0.000
0.666 0.666 0.332
0.333 0.833 0.666
0.832 0.580 0.663
0.832 0.083 0.663
0.500 0.746 0.000
0.500 0.254 0.000
0.168 0.917 0.337
0.168 0.420 0.337
0.000 0.000 0.000

---

18.
GGA-PBE ZrPd3Ru, optimized geometry; volume = 106.94 Å³/cell; total magnetic moment = 1.20 μB/f.u.; D(E_F) = 1.619 states/eV per atom; raw total energy = -28.70 eV per cell
1.0
-2.234 -3.790 -1.781
3.730 -0.884 -2.799
1.903 -2.717 3.395
Ru Zr Pd
1 1 3
direct
0.000 0.000 0.000
0.500 0.500 0.500
0.000 0.500 0.000
0.000 0.000 0.500
0.500 0.000 0.000

---

19.
GGA-PBE ZrPd2Ru, optimized geometry; volume = 66.73 Å³/cell; total magnetic moment = 0.00 μB/f.u.; D(E_F) = 0.988 states/eV per atom; raw total energy = -28.94 eV per cell
1.0
0.000 3.219 3.219
3.219 0.000 3.219
3.219 3.219 0.000
Ru Zr Pd
1 1 2
direct
0.500 0.500 0.500
0.000 0.000 0.000
0.250 0.250 0.250
0.750 0.750 0.750

---

20.
GGA-PBE ZrPdRu2, optimized geometry; volume = 141.56 Å³/cell; total magnetic moment = 0.00 μB/f.u.; D(E_F) = 1.037 states/eV per atom; raw total energy = -63.13 eV per cell
1.0
-0.774 -3.756 -0.675
2.876 -1.027 2.416
-4.965 -2.435 8.012
Ru Zr Pd
4 2 2
direct
0.678 0.125 0.250
0.072 0.625 0.250
0.375 0.322 0.750
0.875 0.928 0.750
0.500 0.500 0.000
0.250 0.750 0.500
0.000 0.000 0.000
0.750 0.250 0.500

---

21.
GGA-PBE Zr2PdRu2, optimized geometry; volume = 95.62 Å³/cell; total magnetic moment = 0.00 μB/f.u.; D(E_F) = 1.391 states/eV per atom; raw total energy = -40.93 eV per cell
1.0
3.568 0.000 0.000
0.000 3.568 0.000
1.784 1.784 7.510
Ru Zr Pd
2 2 1
direct
0.750 0.250 0.500
0.250 0.750 0.500
0.395 0.395 0.211
0.605 0.605 0.789
0.000 0.000 0.000

---

Formation energy readings, ordered: 193; 246; -573; 755; 671; 1510; -197; 208; 1699; -602; -340; -97; -420; -53; -498; -585; -619; 940; -183; 182; -19 meV/atom